A geometry-optimized U2OsRh structure, computed with GGA-PBE.

Geometry as CIF:
```
data_U2OsRh
_chemical_formula_sum 'U6 Os3 Rh3'
_cell_length_a 2.9509
_cell_length_b 2.9509
_cell_length_c 29.4059
_cell_angle_alpha 90.00
_cell_angle_beta 90.00
_cell_angle_gamma 120.00
_space_group_name_H-M_alt 'R -3 m'
_space_group_IT_number 166
_space_group_name_Hall '-R 3 2"'
loop_
_atom_site_label
_atom_site_fract_x
_atom_site_fract_y
_atom_site_fract_z
_atom_site_occupancy
U1 0.0000 0.0000 0.0867 1
Os1 0.0000 0.0000 0.5000 1
Rh1 0.0000 0.0000 0.0000 1
```

- energy (eV/atom) = -10.127
- density (g cm⁻³) = 17.3